Na2SiI after structural relaxation. Source: Alexandria via LeMat-Bulk, functional PBE.

Results
energy above the most stable polymorph in this dataset = 0.084 eV/atom
Fermi-level density of states = 0.9111 states/eV/atom
formation energy (no corrections) = 0.098 eV/atom

```
data_Na2SiI
_chemical_formula_sum 'Na2 Si1 I1'
_symmetry_space_group_name_H-M 'P 1'
_symmetry_Int_Tables_number 1
_cell_length_a 5.505
_cell_length_b 5.505
_cell_length_c 5.505
_cell_angle_alpha 60.00
_cell_angle_beta 60.00
_cell_angle_gamma 60.00
loop_
_symmetry_equiv_pos_as_xyz
'x,y,z'
loop_
_atom_site_label
_atom_site_type_symbol
_atom_site_fract_x
_atom_site_fract_y
_atom_site_fract_z
Na1 Na 0.250 0.250 0.250
Na2 Na 0.750 0.750 0.750
Si1 Si 0.000 0.000 0.000
I1 I 0.500 0.500 0.500
```

***

Na2SiI after structural relaxation. Source: Alexandria via LeMat-Bulk, functional PBE.

Results
energy above the most stable polymorph in this dataset = 0.000 eV/atom
Fermi-level density of states = 0.4937 states/eV/atom
formation energy (no corrections) = 0.014 eV/atom

```
data_Na2SiI
_chemical_formula_sum 'Na4 Si2 I2'
_symmetry_space_group_name_H-M 'P 1'
_symmetry_Int_Tables_number 1
_cell_length_a 6.791
_cell_length_b 6.791
_cell_length_c 6.791
_cell_angle_alpha 103.64
_cell_angle_beta 103.64
_cell_angle_gamma 121.90
loop_
_symmetry_equiv_pos_as_xyz
'x,y,z'
loop_
_atom_site_label
_atom_site_type_symbol
_atom_site_fract_x
_atom_site_fract_y
_atom_site_fract_z
Na1 Na 0.113 0.125 0.488
Na2 Na 0.375 0.887 0.012
Na3 Na 0.637 0.625 0.512
Na4 Na 0.875 0.363 0.988
Si1 Si 0.000 0.000 0.000
Si2 Si 0.750 0.250 0.500
I1 I 0.250 0.750 0.500
I2 I 0.500 0.500 0.000
```

***

NaSiI2 after structural relaxation. Source: Alexandria via LeMat-Bulk, functional PBE.

Results
energy above the most stable polymorph in this dataset = 0.000 eV/atom
Fermi-level density of states = 0.5570 states/eV/atom
formation energy (no corrections) = -0.094 eV/atom

```
data_NaSiI2
_chemical_formula_sum 'Na2 Si2 I4'
_symmetry_space_group_name_H-M 'P 1'
_symmetry_Int_Tables_number 1
_cell_length_a 9.570
_cell_length_b 9.570
_cell_length_c 9.570
_cell_angle_alpha 141.93
_cell_angle_beta 141.93
_cell_angle_gamma 54.93
loop_
_symmetry_equiv_pos_as_xyz
'x,y,z'
loop_
_atom_site_label
_atom_site_type_symbol
_atom_site_fract_x
_atom_site_fract_y
_atom_site_fract_z
Na1 Na 0.000 0.000 0.000
Na2 Na 0.750 0.250 0.500
Si1 Si 0.250 0.750 0.500
Si2 Si 0.500 0.500 0.000
I1 I 0.159 0.625 0.034
I2 I 0.375 0.409 0.534
I3 I 0.591 0.125 0.966
I4 I 0.875 0.841 0.466
```

***

NaSiI3 after structural relaxation. Source: Alexandria via LeMat-Bulk, functional PBE.

Results
energy above the most stable polymorph in this dataset = 0.711 eV/atom
Fermi-level density of states = 0.1719 states/eV/atom
formation energy (no corrections) = 0.313 eV/atom

```
data_NaSiI3
_chemical_formula_sum 'Na1 Si1 I3'
_symmetry_space_group_name_H-M 'P 1'
_symmetry_Int_Tables_number 1
_cell_length_a 5.776
_cell_length_b 5.776
_cell_length_c 5.776
_cell_angle_alpha 90.00
_cell_angle_beta 90.00
_cell_angle_gamma 90.00
loop_
_symmetry_equiv_pos_as_xyz
'x,y,z'
loop_
_atom_site_label
_atom_site_type_symbol
_atom_site_fract_x
_atom_site_fract_y
_atom_site_fract_z
Na1 Na 0.000 0.000 0.000
Si1 Si 0.500 0.500 0.500
I1 I 0.000 0.000 0.500
I2 I 0.000 0.500 0.000
I3 I 0.500 0.000 0.000
```

***

NaSiI4 after structural relaxation. Source: Alexandria via LeMat-Bulk, functional PBE.

Results
Fermi-level density of states = 0.7658 states/eV/atom
formation energy (no corrections) = -0.439 eV/atom

```
data_NaSiI4
_chemical_formula_sum 'Na2 Si2 I8'
_symmetry_space_group_name_H-M 'P 1'
_symmetry_Int_Tables_number 1
_cell_length_a 9.362
_cell_length_b 7.694
_cell_length_c 7.501
_cell_angle_alpha 90.00
_cell_angle_beta 90.00
_cell_angle_gamma 90.00
loop_
_symmetry_equiv_pos_as_xyz
'x,y,z'
loop_
_atom_site_label
_atom_site_type_symbol
_atom_site_fract_x
_atom_site_fract_y
_atom_site_fract_z
Na1 Na 0.000 0.052 0.000
Na2 Na 0.500 0.948 0.500
Si1 Si 0.000 0.675 0.402
Si2 Si 0.500 0.325 0.902
I1 I 0.000 0.347 0.327
I2 I 0.000 0.690 0.747
I3 I 0.226 0.832 0.254
I4 I 0.274 0.168 0.754
I5 I 0.500 0.310 0.247
I6 I 0.500 0.653 0.827
I7 I 0.726 0.168 0.754
I8 I 0.774 0.832 0.254
```

***

Na3SiI after structural relaxation. Source: Alexandria via LeMat-Bulk, functional PBE.

Results
energy above the most stable polymorph in this dataset = 0.000 eV/atom
Fermi-level density of states = 0.7405 states/eV/atom
formation energy (no corrections) = -0.039 eV/atom

```
data_Na3SiI
_chemical_formula_sum 'Na3 Si1 I1'
_symmetry_space_group_name_H-M 'P 1'
_symmetry_Int_Tables_number 1
_cell_length_a 5.697
_cell_length_b 5.697
_cell_length_c 5.697
_cell_angle_alpha 90.00
_cell_angle_beta 90.00
_cell_angle_gamma 90.00
loop_
_symmetry_equiv_pos_as_xyz
'x,y,z'
loop_
_atom_site_label
_atom_site_type_symbol
_atom_site_fract_x
_atom_site_fract_y
_atom_site_fract_z
Na1 Na 0.000 0.000 0.500
Na2 Na 0.000 0.500 0.000
Na3 Na 0.500 0.000 0.000
Si1 Si 0.000 0.000 0.000
I1 I 0.500 0.500 0.500
```